1.
VASP calculation (GGA-PBE) on a relaxed PtSe crystal.

Lattice parameters (Å, degrees): 2.8083 3.7044 7.8956 90.00 98.29 90.00
Element x y z (fractional)
Pt 0.2080 0.2500 0.3955
Pt 0.7920 0.7500 0.6045
Se 0.1246 0.7500 0.1922
Se 0.8754 0.2500 0.8078

M_tot	0.00	μB per cell
space-group type	No. 11
D(E_F)	1.29	states/eV/f.u.
crystal system	monoclinic
E_form (uncorrected)	-139	meV/atom
final energy	-4.902	eV/atom

---

2.
VASP calculation (GGA-PBE) on a relaxed PtSe2 crystal.

Lattice parameters (Å, degrees): 12.1729 12.1729 3.0098 90.00 90.00 163.18
Element x y z (fractional)
Pt 0.1185 0.8815 0.7500
Pt 0.8815 0.1185 0.2500
Se 0.3085 0.6915 0.2500
Se 0.4378 0.5622 0.7500
Se 0.5622 0.4378 0.2500
Se 0.6915 0.3085 0.7500

M_tot	0.00	μB per cell
space-group type	No. 63
D(E_F)	2.35	states/eV/f.u.
crystal system	orthorhombic
E_form (uncorrected)	65	meV/atom
final energy	-4.272	eV/atom

---

3.
VASP calculation (GGA-PBE) on a relaxed PtSe2 crystal.

Lattice parameters (Å, degrees): 4.7944 4.7944 2.8080 90.00 90.00 120.00
Element x y z (fractional)
Pt 0.0000 0.0000 0.0000
Se 0.3333 0.6667 0.5000
Se 0.6667 0.3333 0.5000

M_tot	0.00	μB per cell
space-group type	No. 191
D(E_F)	2.70	states/eV/f.u.
crystal system	hexagonal
E_form (uncorrected)	593	meV/atom
final energy	-3.744	eV/atom

---

4.
VASP calculation (GGA-PBE) on a relaxed PtSe2 crystal.

Lattice parameters (Å, degrees): 11.3737 3.7919 6.1244 90.00 90.00 90.00
Element x y z (fractional)
Pt 0.1374 0.2500 0.0834
Pt 0.3626 0.7500 0.5834
Pt 0.6374 0.2500 0.4166
Pt 0.8626 0.7500 0.9166
Se 0.0093 0.7500 0.2289
Se 0.2294 0.2500 0.4643
Se 0.2706 0.7500 0.9643
Se 0.4907 0.2500 0.7289
Se 0.5093 0.7500 0.2711
Se 0.7294 0.2500 0.0357
Se 0.7706 0.7500 0.5357
Se 0.9907 0.2500 0.7711

M_tot	0.00	μB per cell
space-group type	No. 62
D(E_F)	0.86	states/eV/f.u.
crystal system	orthorhombic
E_form (uncorrected)	-320	meV/atom
final energy	-4.656	eV/atom

---

5.
VASP calculation (GGA-PBE) on a relaxed PtSe crystal.

Lattice parameters (Å, degrees): 4.6355 4.6355 4.6355 60.00 60.00 60.00
Element x y z (fractional)
Pt 0.1250 0.1250 0.1250
Pt 0.8750 0.8750 0.8750
Se 0.3750 0.3750 0.3750
Se 0.6250 0.6250 0.6250

M_tot	0.00	μB per cell
space-group type	No. 227
D(E_F)	1.17	states/eV/f.u.
crystal system	cubic
E_form (uncorrected)	480	meV/atom
final energy	-4.282	eV/atom

---

6.
VASP calculation (GGA-PBE) on a relaxed Pt3Se5 crystal.

Lattice parameters (Å, degrees): 7.2619 7.2619 7.1450 90.00 90.00 120.00
Element x y z (fractional)
Pt 0.0000 0.4182 0.2500
Pt 0.0000 0.5818 0.7500
Pt 0.4182 0.0000 0.2500
Pt 0.4182 0.4182 0.7500
Pt 0.5818 0.0000 0.7500
Pt 0.5818 0.5818 0.2500
Se 0.0000 0.2452 0.7500
Se 0.0000 0.7548 0.2500
Se 0.2452 0.0000 0.7500
Se 0.2452 0.2452 0.2500
Se 0.3333 0.6667 0.0000
Se 0.3333 0.6667 0.5000
Se 0.6667 0.3333 0.0000
Se 0.6667 0.3333 0.5000
Se 0.7548 0.0000 0.2500
Se 0.7548 0.7548 0.7500

M_tot	1.28	μB per cell
space-group type	No. 193
D(E_F)	9.67	states/eV/f.u.
crystal system	hexagonal
E_form (uncorrected)	235	meV/atom
final energy	-4.208	eV/atom

---

7.
VASP calculation (GGA-PBE) on a relaxed PtSe crystal.

Lattice parameters (Å, degrees): 5.6942 5.6942 5.6942 150.32 128.89 60.22
Element x y z (fractional)
Pt 0.3757 0.1257 0.2500
Pt 0.6243 0.8743 0.7500
Se 0.1472 0.3972 0.7500
Se 0.8528 0.6028 0.2500

M_tot	0.00	μB per cell
space-group type	No. 74
D(E_F)	0.85	states/eV/f.u.
crystal system	orthorhombic
E_form (uncorrected)	244	meV/atom
final energy	-4.519	eV/atom

---

8.
VASP calculation (GGA-PBE) on a relaxed SiPt2Se crystal.

Lattice parameters (Å, degrees): 3.5795 5.5626 5.5626 37.73 90.00 90.00
Element x y z (fractional)
Si 0.0000 0.0000 0.0000
Pt 0.0000 0.2372 0.2372
Pt 0.5000 0.4506 0.4506
Se 0.5000 0.6907 0.6907

M_tot	0.00	μB per cell
space-group type	No. 38
D(E_F)	2.81	states/eV/f.u.
crystal system	orthorhombic
E_form (uncorrected)	-175	meV/atom
final energy	-5.422	eV/atom
E above lowest polymorph	139.0	meV per atom

---

9.
VASP calculation (GGA-PBE) on a relaxed SiPt2Se crystal.

Lattice parameters (Å, degrees): 2.9800 2.9800 7.5710 90.00 90.00 90.00
Element x y z (fractional)
Si 0.0000 0.0000 0.0000
Pt 0.0000 0.0000 0.4551
Pt 0.5000 0.5000 0.1793
Se 0.5000 0.5000 0.6808

M_tot	0.00	μB per cell
space-group type	No. 99
D(E_F)	2.31	states/eV/f.u.
crystal system	tetragonal
E_form (uncorrected)	54	meV/atom
final energy	-5.193	eV/atom
E above lowest polymorph	368.4	meV per atom

---

10.
VASP calculation (GGA-PBE) on a relaxed SiPtSe crystal.

Lattice parameters (Å, degrees): 4.3106 4.3106 4.3106 60.00 60.00 60.00
Element x y z (fractional)
Si 0.0000 0.0000 0.0000
Pt 0.7500 0.7500 0.7500
Se 0.5000 0.5000 0.5000

M_tot	0.00	μB per cell
space-group type	No. 216
D(E_F)	0.88	states/eV/f.u.
crystal system	cubic
E_form (uncorrected)	-162	meV/atom
final energy	-5.145	eV/atom

---

11.
VASP calculation (GGA-PBE) on a relaxed Si2PtSe crystal.

Lattice parameters (Å, degrees): 4.7821 4.7821 2.8775 90.00 90.00 90.00
Element x y z (fractional)
Si 0.0000 0.5000 0.0000
Si 0.5000 0.0000 0.0000
Pt 0.0000 0.0000 0.5000
Se 0.5000 0.5000 0.5000

M_tot	0.00	μB per cell
space-group type	No. 123
D(E_F)	3.85	states/eV/f.u.
crystal system	tetragonal
E_form (uncorrected)	273	meV/atom
final energy	-4.819	eV/atom

---

12.
VASP calculation (GGA-PBE) on a relaxed SiPt2Se crystal.

Lattice parameters (Å, degrees): 5.4670 5.4670 5.4670 150.55 111.07 76.68
Element x y z (fractional)
Si 0.0000 0.0000 0.0000
Pt 0.2203 0.7203 0.5000
Pt 0.7797 0.2797 0.5000
Se 0.5000 0.5000 0.0000

M_tot	0.00	μB per cell
space-group type	No. 71
D(E_F)	1.76	states/eV/f.u.
crystal system	orthorhombic
E_form (uncorrected)	-46	meV/atom
final energy	-5.293	eV/atom
E above lowest polymorph	268.2	meV per atom